Density functional theory data (PBE-GGA) for a relaxed CaZnBr4 crystal.

Cell and atoms, written as extended XYZ:
```
6
Lattice="0.0000 4.5395 4.5395 4.5395 0.0000 4.5395 4.5395 4.5395 0.0000" Properties=species:S:1:pos:R:3 pbc="T T T"
Ca 0.0000 0.0000 0.0000
Zn 6.8093 6.8093 6.8093
Br 3.4036 3.4036 3.4036
Br 5.6755 5.6755 3.4036
Br 5.6755 3.4036 5.6755
Br 3.4036 5.6755 5.6755
```

**Polymorph energy (0 for the lowest one)**: 1.2497 eV/atom
**Total DFT energy (no corrections)**: -1.83 eV per atom
**Energy relative to the elements, uncorrected**: -0.17 eV/atom
**Crystal system**: cubic
**Fermi-level density of states**: 3.5 states/eV/f.u.